MgCoNi2O5, optimized geometry, DFT PBE with a Hubbard U; Fermi-level density of states = 2.04 states/eV/f.u.; VASP energy = -44.13 eV per cell
1.0
-2.1236 -1.8843 2.0146
1.5361 -4.3012 -2.4038
4.0785 2.5162 3.6448
Mg O Ni Co
1 5 2 1
direct
0.0000 0.5000 0.0000 Mg
0.0000 0.0000 0.0000 O
0.6342 0.3866 0.2684 O
0.3658 0.6134 0.7316 O
0.6342 0.8818 0.2684 O
0.3658 0.1182 0.7316 O
0.1998 0.1998 0.3997 Ni
0.8002 0.8002 0.6003 Ni
0.5000 0.0000 0.0000 Co